1.
# YAg, relaxed, DFT PBE
# E_form   -0.182 eV/atom
# Total DFT energy (no corrections)   -4.840 eV/atom
data_YAg
_cell_length_a 5.873
_cell_length_b 5.873
_cell_length_c 5.873
_cell_angle_alpha 90.00
_cell_angle_beta 90.00
_cell_angle_gamma 90.00
_space_group_name_H-M_alt 'P 21 3'
_space_group_IT_number 198
_space_group_name_Hall 'P 2ac 2ab 3'
loop_
_atom_site_label
_atom_site_type_symbol
_atom_site_fract_x
_atom_site_fract_y
_atom_site_fract_z
Y1 Y 0.074 0.074 0.074
Ag1 Ag 0.082 0.582 0.918



2.
# NiAs2Ir, relaxed, DFT PBE
# E_form   0.160 eV/atom
# Total DFT energy (no corrections)   -5.825 eV/atom
# Distance to the lowest polymorph of the same formula   385 meV/atom
data_NiAs2Ir
_cell_length_a 3.895
_cell_length_b 3.969
_cell_length_c 4.432
_cell_angle_alpha 90.00
_cell_angle_beta 96.96
_cell_angle_gamma 90.00
_space_group_name_H-M_alt 'P 1 2/m 1'
_space_group_IT_number 10
_space_group_name_Hall '-P 2y'
loop_
_atom_site_label
_atom_site_type_symbol
_atom_site_fract_x
_atom_site_fract_y
_atom_site_fract_z
Ni1 Ni 0.000 0.000 0.000
As1 As 0.308 0.500 0.194
Ir1 Ir 0.500 0.000 0.500



3.
# FeHg2Ru, relaxed, DFT PBE
# E_form   0.843 eV/atom
# Total DFT energy (no corrections)   -3.743 eV/atom
# Distance to the lowest polymorph of the same formula   511 meV/atom
data_FeHg2Ru
_cell_length_a 7.389
_cell_length_b 7.389
_cell_length_c 5.568
_cell_angle_alpha 90.00
_cell_angle_beta 90.00
_cell_angle_gamma 90.00
_space_group_name_H-M_alt 'I -4 2 d'
_space_group_IT_number 122
_space_group_name_Hall 'I -4 2bw'
loop_
_atom_site_label
_atom_site_type_symbol
_atom_site_fract_x
_atom_site_fract_y
_atom_site_fract_z
Fe1 Fe 0.000 0.000 0.000
Hg1 Hg 0.240 0.250 0.125
Ru1 Ru 0.000 0.000 0.500



4.
# Be2PtF, relaxed, DFT PBE
# Total DFT energy (no corrections)   -5.079 eV/atom
# Distance to the lowest polymorph of the same formula   219 meV/atom
# ΔE_f (raw)   -1.24 eV per atom
data_Be2PtF
_cell_length_a 2.653
_cell_length_b 6.389
_cell_length_c 6.406
_cell_angle_alpha 68.80
_cell_angle_beta 79.41
_cell_angle_gamma 89.29
_space_group_name_H-M_alt 'P -1'
_space_group_IT_number 2
_space_group_name_Hall '-P 1'
loop_
_atom_site_label
_atom_site_type_symbol
_atom_site_fract_x
_atom_site_fract_y
_atom_site_fract_z
Be1 Be 0.000 0.000 0.000
Be2 Be 0.000 0.500 0.000
Be3 Be 0.234 0.309 0.487
Pt1 Pt 0.424 0.690 0.171
F1 F 0.236 0.803 0.571